1.
## LiPtO2F (PBE)

Data for crystalline LiPtO2F at its relaxed geometry.

Unit cell a=3.8318 b=3.8318 c=4.7867 alpha=90.00 beta=90.00 gamma=90.00
Fractional coordinates of all 5 atoms:
O 0.5000 0.0000 0.0000
O 0.0000 0.5000 0.0000
Li 0.5000 0.5000 0.5000
Pt 0.0000 0.0000 0.0000
F 0.0000 0.0000 0.5000

Values from the calculation:
Calculated volume   70 Å³/f.u.
Space group   P4/mmm
E_form (uncorrected)   -0.809 eV/atom
Calculated total energy   -23.79 eV for the cell shown

=====

2.
## NiAg2Br (PBE)

Data for crystalline NiAg2Br at its relaxed geometry.

Unit cell a=5.4684 b=5.4684 c=5.4684 alpha=137.72 beta=137.72 gamma=61.32
Site moments in Bohr magnetons follow the coordinates.
Fractional coordinates of all 4 atoms:
Ni 0.2500 0.7500 0.5000  0.54
Ag 0.5000 0.5000 0.0000  0.01
Ag 0.0000 0.0000 0.0000  0.01
Br 0.7500 0.2500 0.5000  0.04

Values from the calculation:
Polymorph energy (0 for the lowest one)   0.3066 eV/atom
Calculated volume   73 Å³/f.u.
Space group   I4/mmm
E_form (uncorrected)   0.468 eV/atom
Calculated total energy   -11.28 eV for the cell shown

=====

Among the records above, which one has the lowest E_form (uncorrected)?
LiPtO2F

=====

Copy entry 1 word for word.
## LiPtO2F (PBE)

Data for crystalline LiPtO2F at its relaxed geometry.

Unit cell a=3.8318 b=3.8318 c=4.7867 alpha=90.00 beta=90.00 gamma=90.00
Fractional coordinates of all 5 atoms:
O 0.5000 0.0000 0.0000
O 0.0000 0.5000 0.0000
Li 0.5000 0.5000 0.5000
Pt 0.0000 0.0000 0.0000
F 0.0000 0.0000 0.5000

Values from the calculation:
Calculated volume   70 Å³/f.u.
Space group   P4/mmm
E_form (uncorrected)   -0.809 eV/atom
Calculated total energy   -23.79 eV for the cell shown

=====

calculated volume of number 2 (NiAg2Br)?
73 Å³/f.u.